Record 1
# Cs3TlBr4

A geometry-optimized Cs3TlBr4 structure (PBE, the Alexandria database).

Calculated values
- Volume: 47.174 A^3/atom
- Uncorrected energy: -3.0018 eV per atom
- Formation energy without anion corrections: -1.549 eV per atom
- Excess energy over the best structure of this formula in the dataset: 0.00 kJ per mole of atoms

Cell lengths 8.847, 10.235, 8.848 Å; angles 90.00, 109.58, 90.00 degrees
Sites, in units of the cell vectors:
1 Cs 0.000 0.123 0.250
2 Cs 0.000 0.370 0.750
3 Cs 0.000 0.630 0.250
4 Cs 0.000 0.877 0.750
5 Cs 0.500 0.373 0.250
6 Cs 0.500 0.627 0.750
7 Tl 0.500 0.120 0.750
8 Tl 0.500 0.880 0.250
9 Br 0.254 0.367 0.509
10 Br 0.254 0.633 0.009
11 Br 0.269 0.114 0.999
12 Br 0.269 0.886 0.499
13 Br 0.731 0.114 0.501
14 Br 0.731 0.886 0.001
15 Br 0.746 0.367 0.991
16 Br 0.746 0.633 0.491

***

Record 2
# Ce2VGe4Pt3

A geometry-optimized Ce2VGe4Pt3 structure (PBE, the Alexandria database).

Calculated values
- Formation energy: -0.82 eV/atom
- Volume: 19.102 A^3/atom
- Uncorrected energy: -6.5759 eV per atom

Cell lengths 4.279, 4.279, 10.431 Å; angles 90.00, 90.00, 90.00 degrees
Sites, in units of the cell vectors:
1 Ce 0.000 0.500 0.249
2 Ce 0.500 0.000 0.751
3 V 0.500 0.500 0.000
4 Ge 0.000 0.000 0.500
5 Ge 0.000 0.500 0.866
6 Ge 0.500 0.000 0.134
7 Ge 0.500 0.500 0.500
8 Pt 0.000 0.000 0.000
9 Pt 0.000 0.500 0.628
10 Pt 0.500 0.000 0.372

***

Record 3
# HfAu

A geometry-optimized HfAu structure (PBE, the Alexandria database).

Calculated values
- Formation energy: 0.59 eV/atom
- Volume: 35.314 A^3/atom
- Uncorrected energy: -6.0254 eV per atom

Cell lengths 7.511, 7.511, 7.511 Å; angles 90.00, 90.00, 90.00 degrees
Sites, in units of the cell vectors:
1 Hf 0.000 0.250 0.500
2 Hf 0.000 0.750 0.500
3 Hf 0.250 0.500 0.000
4 Hf 0.500 0.000 0.250
5 Hf 0.500 0.000 0.750
6 Hf 0.750 0.500 0.000
7 Au 0.000 0.500 0.250
8 Au 0.000 0.500 0.750
9 Au 0.250 0.000 0.500
10 Au 0.500 0.250 0.000
11 Au 0.500 0.750 0.000
12 Au 0.750 0.000 0.500

***

Record 4
# SrAgN

A geometry-optimized SrAgN structure (PBE, the Alexandria database).

Calculated values
- Volume: 20.406 A^3/atom
- Uncorrected energy: -4.4366 eV per atom
- Formation energy without anion corrections: -0.150 eV per atom

Cell lengths 3.812, 3.812, 4.212 Å; angles 90.00, 90.00, 90.00 degrees
Sites, in units of the cell vectors:
1 Sr 0.000 0.000 0.000
2 Ag 0.500 0.500 0.500
3 N 0.500 0.500 0.000